[1]
{"formula": "RbInNiTe3", "functional": "PBE", "state": "optimized geometry", "spacegroup": "Cmcm (63)", "vol_a3_per_atom": 32.39, "e_tot_ev_per_atom": -3.50, "magnetic_moment_mub_per_atom": 0.00, "lattice_angstrom": [[2.209, -7.161, 0.000], [2.209, 7.161, 0.000], [0.000, 0.000, 12.286]], "species": ["In", "In", "Ni", "Ni", "Rb", "Rb", "Te", "Te", "Te", "Te", "Te", "Te"], "frac_coords": [[0.000, 0.000, 0.000], [0.000, 0.000, 0.500], [0.582, 0.418, 0.250], [0.418, 0.582, 0.750], [0.281, 0.719, 0.250], [0.719, 0.281, 0.750], [0.639, 0.361, 0.056], [0.998, 0.002, 0.250], [0.639, 0.361, 0.444], [0.361, 0.639, 0.556], [0.002, 0.998, 0.750], [0.361, 0.639, 0.944]]}

[2]
{"formula": "ScInReNi", "functional": "PBE", "state": "optimized geometry", "spacegroup": "F-43m (216)", "vol_a3_per_atom": 16.76, "e_tot_ev_per_atom": -6.45, "magnetic_moment_mub_per_atom": 0.35, "lattice_angstrom": [[-3.059, 0.268, 3.371], [-0.856, 4.013, 1.988], [-3.992, 2.088, -0.705]], "species": ["In", "Ni", "Re", "Sc"], "frac_coords": [[0.000, 0.000, 0.000], [0.750, 0.750, 0.750], [0.500, 0.500, 0.500], [0.250, 0.250, 0.250]]}